Entry 1:
Sr2ZrHI (SCAN, single point on PBEsol structure); space-group type = P4/mmm, No. 123
1.0
-3.388 4.089 0.728
-4.765 -3.943 -0.030
0.513 -0.667 6.127
I Sr Zr H
1 2 1 1
Direct
0.500 0.000 0.000
0.000 0.000 0.500
0.000 0.500 0.000
0.000 0.000 0.000
0.500 0.500 0.500

Entry 2:
Ta3HI (SCAN, single point on PBEsol structure); space-group type = Pm-3m, No. 221
1.0
4.972 0.000 0.000
0.000 4.972 0.000
0.000 0.000 4.972
I Ta H
1 3 1
Direct
0.000 0.000 0.000
0.000 0.000 0.500
0.000 0.500 0.000
0.500 0.000 0.000
0.500 0.500 0.500

Entry 3:
Ta2HI (SCAN, single point on PBEsol structure); space-group type = I-42d, No. 122
1.0
5.137 0.000 0.000
0.000 5.137 0.000
-2.568 -2.568 5.233
I Ta H
2 4 2
Direct
0.250 0.750 0.500
0.000 0.000 0.000
0.125 0.295 0.750
0.625 0.455 0.750
0.545 0.875 0.250
0.705 0.375 0.250
0.500 0.500 0.000
0.750 0.250 0.500

Entry 4:
TcTe2HI (SCAN, single point on PBEsol structure); space-group type = P4/mmm, No. 123
1.0
5.052 0.000 0.000
0.000 5.052 0.000
0.000 0.000 5.800
I Te Tc H
1 2 1 1
Direct
0.000 0.000 0.500
0.500 0.000 0.000
0.000 0.500 0.000
0.000 0.000 0.000
0.500 0.500 0.500

Entry 5:
TlTe2HI (SCAN, single point on PBEsol structure); space-group type = P4/mmm, No. 123
1.0
-3.522 0.248 -2.750
-1.078 -4.227 0.999
-3.965 2.260 5.283
Te Tl I H
2 1 1 1
Direct
0.500 0.000 0.000
0.000 0.500 0.000
0.500 0.500 0.500
0.000 0.000 0.500
0.000 0.000 0.000

Entry 6:
TlH2I (SCAN, single point on PBEsol structure); space-group type = Fm-3m, No. 225
1.0
4.589 0.000 0.000
2.294 3.974 0.000
2.294 1.325 3.747
I H Tl
1 2 1
Direct
0.000 0.000 0.000
0.750 0.750 0.750
0.250 0.250 0.250
0.500 0.500 0.500

Entry 7:
Tl3HI (SCAN, single point on PBEsol structure); space-group type = Pm-3m, No. 221
1.0
6.318 0.000 0.000
0.000 6.318 0.000
0.000 0.000 6.318
H Tl I
1 3 1
Direct
0.500 0.500 0.500
0.000 0.500 0.000
0.000 0.000 0.500
0.500 0.000 0.000
0.000 0.000 0.000

Entry 8:
Y3HI (SCAN, single point on PBEsol structure); space-group type = Pm-3m, No. 221
1.0
-0.850 3.538 -3.124
-4.543 -1.474 -0.434
-1.281 2.883 3.613
H I Y
1 1 3
Direct
0.000 0.000 0.000
0.500 0.500 0.500
0.000 0.000 0.500
0.500 0.000 0.000
0.000 0.500 0.000

Entry 9:
YZrH2I (SCAN, single point on PBEsol structure); space-group type = P4/mmm, No. 123
1.0
4.194 0.000 0.000
0.000 4.194 0.000
0.000 0.000 6.161
H I Zr Y
2 1 1 1
Direct
0.500 0.000 0.000
0.000 0.500 0.000
0.000 0.000 0.000
0.500 0.500 0.500
0.000 0.000 0.500

Entry 10:
ZnH3I (SCAN, single point on PBEsol structure); space-group type = Pm-3m, No. 221
1.0
4.158 0.000 0.000
0.000 4.158 0.000
0.000 0.000 4.158
H Zn I
3 1 1
Direct
0.000 0.000 0.500
0.000 0.500 0.000
0.500 0.000 0.000
0.500 0.500 0.500
0.000 0.000 0.000

Entry 11:
ZnHI2 (SCAN, single point on PBEsol structure); space-group type = I-42d, No. 122
1.0
6.808 0.000 0.000
-3.404 6.058 0.082
0.000 3.748 5.683
Zn H I
2 2 4
Direct
0.000 0.000 0.000
0.750 0.500 0.750
0.250 0.500 0.250
0.500 0.000 0.500
0.650 0.750 0.375
0.100 0.750 0.875
0.375 0.250 0.100
0.875 0.250 0.650

Entry 12:
In2HIrRu (SCAN, single point on PBEsol structure); space-group type = P4/mmm, No. 123
1.0
-3.092 -3.375 0.327
3.493 -3.353 -1.590
1.409 -0.823 4.828
In Ru H Ir
2 1 1 1
Direct
0.000 0.500 0.000
0.000 0.000 0.500
0.000 0.000 0.000
0.500 0.500 0.500
0.500 0.000 0.000

Entry 13:
KInH2O (SCAN, single point on PBEsol structure); space-group type = P4/mmm, No. 123
1.0
3.997 0.000 0.000
0.000 3.997 0.000
0.000 0.000 4.211
H In O K
2 1 1 1
Direct
0.000 0.500 0.000
0.500 0.000 0.000
0.000 0.000 0.000
0.000 0.000 0.500
0.500 0.500 0.500

Entry 14:
K2In2P2HO10 (SCAN, single point on PBEsol structure); space-group type = P2_12_12_1, No. 19
1.0
-7.316 0.396 5.769
5.166 -3.911 6.819
3.213 10.134 3.379
K O In P H
8 40 8 8 4
Direct
0.488 0.530 0.596
0.012 0.470 0.096
0.512 0.030 0.904
0.762 0.866 0.671
0.262 0.634 0.329
0.238 0.366 0.829
0.738 0.134 0.171
0.988 0.970 0.404
0.471 0.778 0.755
0.027 0.212 0.978
0.785 0.487 0.750
0.474 0.532 0.844
0.237 0.318 0.383
0.429 0.508 0.135
0.973 0.712 0.522
0.929 0.992 0.865
0.971 0.722 0.245
0.974 0.968 0.156
0.775 0.202 0.898
0.029 0.222 0.255
0.225 0.702 0.602
0.275 0.298 0.102
0.473 0.788 0.478
0.737 0.182 0.617
0.003 0.719 0.743
0.071 0.492 0.635
0.997 0.219 0.757
0.725 0.798 0.398
0.715 0.513 0.250
0.496 0.256 0.525
0.244 0.981 0.985
0.527 0.288 0.022
0.763 0.818 0.117
0.529 0.278 0.745
0.497 0.281 0.243
0.256 0.019 0.485
0.526 0.032 0.656
0.571 0.008 0.365
0.026 0.468 0.344
0.503 0.781 0.257
0.996 0.244 0.475
0.504 0.756 0.975
0.744 0.519 0.015
0.285 0.013 0.250
0.004 0.744 0.025
0.263 0.682 0.883
0.215 0.987 0.750
0.756 0.481 0.515
0.894 0.346 0.621
0.394 0.154 0.379
0.106 0.846 0.879
0.147 0.110 0.119
0.853 0.610 0.381
0.647 0.390 0.881
0.606 0.654 0.121
0.353 0.890 0.619
0.431 0.344 0.126
0.427 0.688 0.866
0.931 0.156 0.874
0.073 0.312 0.366
0.069 0.656 0.626
0.573 0.188 0.634
0.927 0.812 0.134
0.569 0.844 0.374
0.145 0.060 0.725
0.355 0.940 0.225
0.645 0.440 0.275
0.855 0.560 0.775

Entry 15:
Li2InH (SCAN, single point on PBEsol structure); space-group type = I-42d, No. 122
1.0
-3.386 3.865 1.795
-0.452 -5.081 1.898
5.245 0.118 1.449
In H Li
2 2 4
Direct
0.500 0.750 0.250
0.000 0.000 0.000
0.000 0.500 0.500
0.500 0.250 0.750
0.715 0.375 0.590
0.215 0.340 0.625
0.285 0.875 0.660
0.785 0.410 0.125

Entry 16:
LiIn2H2 (SCAN, single point on PBEsol structure); space-group type = I4/mmm, No. 139
1.0
3.331 0.000 0.000
0.000 3.331 0.000
-1.665 -1.665 6.803
In H Li
2 2 1
Direct
0.643 0.643 0.286
0.357 0.357 0.714
0.250 0.750 0.500
0.750 0.250 0.500
0.000 0.000 0.000

Entry 17:
Li2InH2 (SCAN, single point on PBEsol structure); space-group type = P4/mbm, No. 127
1.0
-2.922 -0.370 -0.829
0.959 -6.622 -0.426
-1.743 -0.666 6.440
In Li H
2 4 4
Direct
0.000 0.000 0.000
0.000 0.500 0.500
0.500 0.701 0.799
0.500 0.799 0.299
0.500 0.299 0.201
0.500 0.201 0.701
0.000 0.818 0.682
0.000 0.182 0.318
0.000 0.318 0.818
0.000 0.682 0.182

Entry 18:
LiIn3H (SCAN, single point on PBEsol structure); space-group type = Pm-3m, No. 221
1.0
4.624 0.000 0.000
0.000 4.624 0.000
0.000 0.000 4.624
Li H In
1 1 3
Direct
0.500 0.500 0.500
0.000 0.000 0.000
0.000 0.000 0.500
0.500 0.000 0.000
0.000 0.500 0.000

Entry 19:
Mg2InH2 (SCAN, single point on PBEsol structure); space-group type = I4/mmm, No. 139
1.0
-2.096 -2.486 0.235
2.357 -1.868 1.257
-1.799 4.158 5.327
Mg H In
2 2 1
Direct
0.338 0.338 0.675
0.662 0.662 0.325
0.750 0.250 0.500
0.250 0.750 0.500
0.000 0.000 0.000

Entry 20:
Mg3InH (SCAN, single point on PBEsol structure); space-group type = Pm-3m, No. 221
1.0
4.442 0.000 0.000
0.000 4.442 0.000
0.000 0.000 4.442
H Mg In
1 3 1
Direct
0.000 0.000 0.000
0.000 0.500 0.000
0.500 0.000 0.000
0.000 0.000 0.500
0.500 0.500 0.500

Entry 21:
NaMgIn2H (SCAN, single point on PBEsol structure); space-group type = P4/mmm, No. 123
1.0
-0.656 -3.497 -0.089
4.853 -0.984 2.889
-2.863 0.411 4.950
Mg In H Na
1 2 1 1
Direct
0.500 0.500 0.500
0.000 0.000 0.500
0.000 0.500 0.000
0.500 0.000 0.000
0.000 0.000 0.000

Entry 22:
MnInH2 (SCAN, single point on PBEsol structure); space-group type = I-42d, No. 122
1.0
-2.750 1.500 3.001
-3.154 0.166 -2.973
1.758 -5.081 1.016
H Mn In
4 2 2
Direct
0.737 0.375 0.250
0.513 0.875 0.250
0.125 0.263 0.750
0.625 0.487 0.750
0.750 0.250 0.500
0.500 0.500 0.000
0.250 0.750 0.500
0.000 0.000 0.000

Entry 23:
MnIn2H2 (SCAN, single point on PBEsol structure); space-group type = I4/mmm, No. 139
1.0
-2.973 -0.089 -0.215
0.069 -2.969 0.270
0.932 2.148 6.912
In H Mn
2 2 1
Direct
0.368 0.368 0.736
0.632 0.632 0.264
0.750 0.250 0.500
0.250 0.750 0.500
0.000 0.000 0.000

Entry 24:
MnIn2HPd (SCAN, single point on PBEsol structure); space-group type = P4/mmm, No. 123
1.0
-1.715 0.555 -2.652
-4.181 -2.211 2.242
-1.440 4.656 1.907
Pd H In Mn
1 1 2 1
Direct
0.000 0.000 0.000
0.500 0.000 0.000
0.000 0.000 0.500
0.000 0.500 0.000
0.500 0.500 0.500

What are the magnetic moment values for these records? In order: 2.00, 2.16, 0.00, 0.24, 0.00, 0.00, 0.27, 0.00, 0.00, 0.00, 1.00, 1.01, 0.00, 1.15, 0.00, 0.00, 0.00, 0.00, 0.00, 0.00, 0.00, 3.32, 3.35, 4.08 μB per formula unit.
What are the E values for these records? In order: -22.478, -44.896, -42.633, -29.142, -37.275, -28.177, -50.797, -24.894, -19.302, -11.116, -22.485, -34.184, -11.637, -12.104, -10.733, -15.027, -9.020, -21.057, -10.230, -10.455, -15.486, -14.428, -17.998, -24.163 eV per atom.